[1]
Computed, not measured: a geometry-optimized AlAg3Te structure at the PBE level of DFT.

a = 5.352 Å, b = 5.352 Å, c = 5.352 Å
α = 90.00°, β = 90.00°, γ = 90.00°
Space group Pm-3m (No. 221)
Asymmetric unit:
Al 0.000 0.000 0.000
Ag 0.000 0.500 0.500
Te 0.500 0.500 0.500

The calculation puts the mass density at 5.18 Mg/m³. For the spin magnetization, the calculation gives 0.00 μB/f.u. As for the relative energy among the computed polymorphs: 3.921 kcal/mol of atoms.

=====

[2]
Computed, not measured: a geometry-optimized AlAgTe2 structure at the PBE level of DFT.

a = 3.0760 Å, b = 3.0760 Å, c = 40.0646 Å
α = 90.00°, β = 90.00°, γ = 120.00°
Space group R-3m (No. 166, hexagonal axes)
Asymmetric unit:
Al 0.0000 0.0000 0.0000
Ag 0.0000 0.0000 0.5000
Te 0.0000 0.0000 0.0713

The calculation puts the mass density at 5.92 Mg/m³. For the spin magnetization, the calculation gives 0.00 μB/f.u.

=====

[3]
Computed, not measured: a geometry-optimized Al5AgTe8 structure at the PBE level of DFT.

a = 11.737 Å, b = 11.737 Å, c = 11.737 Å
α = 90.00°, β = 90.00°, γ = 90.00°
Space group F-43m (No. 216)
Asymmetric unit:
Al 0.000 0.000 0.000
Al 0.118 0.118 0.618
Ag 0.250 0.250 0.250
Te 0.116 0.116 0.384
Te 0.134 0.134 0.866

The calculation puts the mass density at 5.19 Mg/m³. For the spin magnetization, the calculation gives 0.00 μB/f.u.

=====

[4]
Computed, not measured: a geometry-optimized AlAgTe2 structure at the PBE level of DFT.

a = 3.873 Å, b = 8.464 Å, c = 7.995 Å
α = 90.00°, β = 90.00°, γ = 90.00°
Space group Cmmm (No. 65)
Asymmetric unit:
Al 0.000 0.000 0.000
Ag 0.000 0.000 0.500
Te 0.000 0.500 0.237

The calculation puts the mass density at 4.94 Mg/m³. For the spin magnetization, the calculation gives 0.00 μB/f.u.

=====

[5]
Computed, not measured: a geometry-optimized AlAgTe2 structure at the PBE level of DFT.

a = 6.213 Å, b = 8.260 Å, c = 4.064 Å
α = 90.00°, β = 90.00°, γ = 90.00°
Space group Cmmm (No. 65)
Asymmetric unit:
Al 0.000 0.000 0.000
Ag 0.000 0.500 0.000
Te 0.000 0.244 0.500

The calculation puts the mass density at 6.21 Mg/m³. For the spin magnetization, the calculation gives 0.00 μB/f.u.

=====

[6]
Computed, not measured: a geometry-optimized AlAgTe2 structure at the PBE level of DFT.

a = 8.208 Å, b = 8.208 Å, c = 3.075 Å
α = 90.00°, β = 90.96°, γ = 90.00°
Space group C2/m (No. 12)
Asymmetric unit:
Al 0.000 0.000 0.000
Ag 0.000 0.500 0.000
Te 0.250 0.250 0.000

The calculation puts the mass density at 6.25 Mg/m³. For the spin magnetization, the calculation gives 0.00 μB/f.u.

=====

Which uncorrected formation energy belongs to each record? In order, 0.65, 0.26, -0.34, 0.07, 0.07, 0.03 eV per atom.